[1]
Material: LiAl3Ni
Method: DFT, PBEsol
State: relaxed

## Properties
The calculation puts the energy at -4.1882 eV/atom. The value obtained for the density of states at the Fermi level is 1.0 states/eV/cell.

The structure in POSCAR format:
```
LiAl3Ni
1.0
4.464 0.000 0.000
0.000 4.464 0.000
0.000 0.000 4.464
Li Al Ni
1 3 1
Direct
0.000 0.000 0.000
0.000 0.500 0.500
0.500 0.000 0.500
0.500 0.500 0.000
0.500 0.500 0.500
```

---

[2]
Material: Li2AlNi3O6
Method: DFT, PBEsol
State: relaxed

## Properties
Its uncorrected formation energy is -1.542 eV/atom. The value obtained for the density of states at the Fermi level is 1.6 states/eV/cell.

The structure in POSCAR format:
```
Li2AlNi3O6
1.0
2.524 -4.244 0.000
2.524 4.244 0.000
-1.799 0.000 4.722
Li Al Ni O
2 1 3 6
Direct
0.000 0.000 0.000
0.684 0.316 0.000
0.186 0.814 0.500
0.348 0.652 0.000
0.515 0.485 0.500
0.853 0.147 0.500
0.116 0.434 0.250
0.244 0.213 0.722
0.441 0.051 0.286
0.566 0.884 0.750
0.787 0.756 0.278
0.949 0.559 0.714
```

---

[3]
Material: LiAlNi3O5
Method: DFT, PBEsol
State: relaxed

## Properties
Its uncorrected formation energy is -1.373 eV/atom. The value obtained for the density of states at the Fermi level is 6.7 states/eV/cell.

The structure in POSCAR format:
```
LiAlNi3O5
1.0
2.495 -7.163 0.000
2.495 7.163 0.000
-1.772 0.000 4.756
Li Al Ni O
2 2 6 10
Direct
0.199 0.801 0.000
0.801 0.199 0.000
0.299 0.701 0.500
0.701 0.299 0.500
0.000 0.000 0.000
0.101 0.899 0.500
0.395 0.605 0.000
0.500 0.500 0.500
0.605 0.395 0.000
0.899 0.101 0.500
0.056 0.464 0.719
0.161 0.371 0.261
0.249 0.249 0.760
0.371 0.161 0.261
0.464 0.056 0.719
0.536 0.944 0.281
0.629 0.839 0.739
0.751 0.751 0.240
0.839 0.629 0.739
0.944 0.536 0.281
```

---

[4]
Material: Li5AlO4
Method: DFT, PBEsol
State: relaxed

## Properties
Its uncorrected formation energy is -2.228 eV/atom. The value obtained for the density of states at the Fermi level is 0.0 states/eV/cell.

The structure in POSCAR format:
```
Li5AlO4
1.0
6.267 0.000 0.000
0.000 6.395 0.000
0.000 0.000 4.606
Li Al O
10 2 8
Direct
0.011 0.053 0.246
0.011 0.447 0.246
0.250 0.750 0.295
0.489 0.053 0.246
0.489 0.447 0.246
0.511 0.553 0.754
0.511 0.947 0.754
0.750 0.250 0.705
0.989 0.553 0.754
0.989 0.947 0.754
0.250 0.250 0.724
0.750 0.750 0.276
0.012 0.250 0.931
0.250 0.016 0.515
0.250 0.484 0.515
0.488 0.250 0.931
0.512 0.750 0.069
0.750 0.516 0.485
0.750 0.984 0.485
0.988 0.750 0.069
```

---

[5]
Material: Li5AlO4
Method: DFT, PBEsol
State: relaxed

## Properties
Its uncorrected formation energy is -2.234 eV/atom. The value obtained for the density of states at the Fermi level is 0.0 states/eV/cell.

The structure in POSCAR format:
```
Li5AlO4
1.0
8.923 0.000 0.000
0.000 9.078 0.000
0.000 0.000 9.037
Li Al O
40 8 32
Direct
0.099 0.145 0.127
0.099 0.355 0.627
0.103 0.659 0.881
0.103 0.841 0.381
0.132 0.621 0.147
0.132 0.879 0.647
0.139 0.102 0.386
0.139 0.398 0.886
0.168 0.620 0.606
0.168 0.880 0.106
0.332 0.120 0.606
0.332 0.380 0.106
0.361 0.602 0.386
0.361 0.898 0.886
0.368 0.121 0.147
0.368 0.379 0.647
0.397 0.159 0.881
0.397 0.341 0.381
0.401 0.645 0.127
0.401 0.855 0.627
0.599 0.145 0.373
0.599 0.355 0.873
0.603 0.659 0.619
0.603 0.841 0.119
0.632 0.621 0.353
0.632 0.879 0.853
0.639 0.102 0.114
0.639 0.398 0.614
0.668 0.620 0.894
0.668 0.880 0.394
0.832 0.120 0.894
0.832 0.380 0.394
0.861 0.602 0.114
0.861 0.898 0.614
0.868 0.121 0.353
0.868 0.379 0.853
0.897 0.159 0.619
0.897 0.341 0.119
0.901 0.645 0.373
0.901 0.855 0.873
0.116 0.123 0.856
0.116 0.377 0.356
0.384 0.623 0.856
0.384 0.877 0.356
0.616 0.123 0.644
0.616 0.377 0.144
0.884 0.623 0.644
0.884 0.877 0.144
0.000 0.243 0.963
0.000 0.257 0.463
0.000 0.743 0.537
0.000 0.757 0.037
0.007 0.510 0.748
0.007 0.990 0.248
0.232 0.243 0.752
0.232 0.257 0.252
0.239 0.038 0.986
0.239 0.462 0.486
0.261 0.538 0.986
0.261 0.962 0.486
0.268 0.743 0.752
0.268 0.757 0.252
0.493 0.010 0.748
0.493 0.490 0.248
0.500 0.243 0.537
0.500 0.257 0.037
0.500 0.743 0.963
0.500 0.757 0.463
0.507 0.510 0.752
0.507 0.990 0.252
0.732 0.243 0.748
0.732 0.257 0.248
0.739 0.038 0.514
0.739 0.462 0.014
0.761 0.538 0.514
0.761 0.962 0.014
0.768 0.743 0.748
0.768 0.757 0.248
0.993 0.010 0.752
0.993 0.490 0.252
```

---

[6]
Material: LiTiAl2O
Method: DFT, PBEsol
State: relaxed

## Properties
Its uncorrected formation energy is -0.292 eV/atom. The value obtained for the density of states at the Fermi level is 2.9 states/eV/cell.

The structure in POSCAR format:
```
LiTiAl2O
1.0
5.271 0.000 0.000
0.000 5.271 0.000
0.000 0.000 3.674
Li Ti Al O
1 1 2 1
Direct
0.000 0.000 0.000
0.500 0.500 0.500
0.000 0.500 0.500
0.500 0.000 0.500
0.500 0.500 0.000
```

---

One value per record, in order, for total magnetic moment: 0.00, 2.93, 10.20, 0.00, 0.00, 0.00 μB per cell.